Below is a relaxed structure of ZnIr2C, with properties calculated at the PBE-GGA level.

Cell: 4.120 4.120 4.120 Å, 60.00 60.00 60.00°
Fractional coordinates of all 4 atoms:
C (0.000, 0.000, 0.000)
Ir (0.250, 0.250, 0.250)
Ir (0.750, 0.750, 0.750)
Zn (0.500, 0.500, 0.500)

Calculated values
- density (Mg/m³) = 15.5
- DFT formation energy (meV per atom) = 1083.1
- energy above the most stable polymorph in this dataset (eV/f.u.) = 3.16